Crystalline Rb2PtC4N4 at its relaxed geometry. Source: the Open Quantum Materials Database, functional PBE-GGA.

Computed properties:
Calculated total energy (eV/atom): -7.30
Space-group type: Imma, No. 74

Cell lengths 8.6789, 8.6789, 8.6789 Å; angles 130.17, 100.36, 100.09 degrees
Atoms (fractional coordinates):
Rb (0.0000, 0.0000, 0.0000)
Rb (0.4719, 0.7219, 0.7500)
Rb (0.5000, 0.0000, 0.5000)
Rb (0.5281, 0.2781, 0.2500)
Pt (0.0000, 0.0000, 0.5000)
Pt (0.0000, 0.5000, 0.0000)
C (0.1776, 0.1650, 0.4874)
C (0.1776, 0.6903, 0.0126)
C (0.1786, 0.0000, 0.6786)
C (0.1786, 0.5000, 0.1786)
C (0.8214, 0.0000, 0.3214)
C (0.8214, 0.5000, 0.8214)
C (0.8224, 0.3097, 0.9874)
C (0.8224, 0.8350, 0.5126)
N (0.2826, 0.2534, 0.4709)
N (0.2826, 0.8117, 0.0291)
N (0.2843, 0.0000, 0.7843)
N (0.2843, 0.5000, 0.2843)
N (0.7157, 0.0000, 0.2157)
N (0.7157, 0.5000, 0.7157)
N (0.7174, 0.1883, 0.9709)
N (0.7174, 0.7466, 0.5291)